(1)
Compound: HfSi4Pd3
Source: the Open Quantum Materials Database
Functional: PBE
Structure: optimized geometry

CIF file:
```
data_HfSi4Pd3
_cell_length_a 4.8266
_cell_length_b 3.8444
_cell_length_c 6.6967
_cell_angle_alpha 90.00
_cell_angle_beta 92.61
_cell_angle_gamma 90.00
_symmetry_space_group_name_H-M 'P 1 m 1'
_symmetry_Int_Tables_number 6
loop_
_symmetry_equiv_pos_as_xyz
'x,y,z'
'x,-y,z'
loop_
_atom_site_label
_atom_site_type_symbol
_atom_site_fract_x
_atom_site_fract_y
_atom_site_fract_z
Hf1 Hf 0.0000 0.0000 0.0000
Si1 Si 0.2959 0.0000 0.6513
Si2 Si 0.4936 0.0000 0.1676
Si3 Si 0.7856 0.5000 0.2456
Si4 Si 0.9933 0.5000 0.7121
Pd1 Pd 0.2669 0.5000 0.3831
Pd2 Pd 0.5103 0.5000 0.8647
Pd3 Pd 0.7525 0.0000 0.5249
```

Results
VASP energy: -6.31 eV/atom

***

(2)
Compound: Hf2SiPd
Source: the Open Quantum Materials Database
Functional: PBE
Structure: optimized geometry

CIF file:
```
data_Hf2SiPd
_cell_length_a 6.5701
_cell_length_b 6.5701
_cell_length_c 6.5701
_cell_angle_alpha 90.00
_cell_angle_beta 90.00
_cell_angle_gamma 90.00
_symmetry_space_group_name_H-M 'F -4 3 m'
_symmetry_Int_Tables_number 216
_symmetry_space_group_name_Hall 'F -4 2 3'
loop_
_atom_site_label
_atom_site_type_symbol
_atom_site_fract_x
_atom_site_fract_y
_atom_site_fract_z
Hf1 Hf 0.0000 0.0000 0.0000
Hf2 Hf 0.2500 0.2500 0.2500
Si1 Si 0.0000 0.0000 0.5000
Pd1 Pd 0.2500 0.2500 0.7500
```

Results
VASP energy: -7.66 eV/atom

***

(3)
Compound: Hf3Si3Pd2
Source: the Open Quantum Materials Database
Functional: PBE
Structure: optimized geometry

CIF file:
```
data_Hf3Si3Pd2
_cell_length_a 3.9203
_cell_length_b 10.3472
_cell_length_c 13.0620
_cell_angle_alpha 90.00
_cell_angle_beta 90.00
_cell_angle_gamma 90.00
_symmetry_space_group_name_H-M 'C m c m'
_symmetry_Int_Tables_number 63
_symmetry_space_group_name_Hall '-C 2c 2'
loop_
_atom_site_label
_atom_site_type_symbol
_atom_site_fract_x
_atom_site_fract_y
_atom_site_fract_z
Hf1 Hf 0.0000 0.0659 0.1218
Hf2 Hf 0.0000 0.3637 0.2500
Si1 Si 0.0000 0.3471 0.7500
Si2 Si 0.0000 0.4013 0.0426
Pd1 Pd 0.0000 0.2230 0.5858
```

Results
VASP energy: -7.95 eV/atom

***

(4)
Compound: HfZrSi2Pd2
Source: the Open Quantum Materials Database
Functional: PBE
Structure: optimized geometry

CIF file:
```
data_HfZrSi2Pd2
_cell_length_a 8.5911
_cell_length_b 4.2948
_cell_length_c 12.8880
_cell_angle_alpha 90.00
_cell_angle_beta 109.46
_cell_angle_gamma 90.00
_symmetry_space_group_name_H-M 'P 1 m 1'
_symmetry_Int_Tables_number 6
loop_
_symmetry_equiv_pos_as_xyz
'x,y,z'
'x,-y,z'
loop_
_atom_site_label
_atom_site_type_symbol
_atom_site_fract_x
_atom_site_fract_y
_atom_site_fract_z
Hf1 Hf 0.0000 0.0000 0.0000
Hf2 Hf 0.1247 0.5000 0.7501
Hf3 Hf 0.3742 0.5000 0.2490
Hf4 Hf 0.8744 0.5000 0.2490
Zr1 Zr 0.2493 0.0000 0.4991
Zr2 Zr 0.4996 0.0000 0.9997
Zr3 Zr 0.6247 0.5000 0.7497
Zr4 Zr 0.7494 0.0000 0.4990
Si1 Si 0.1241 0.0000 0.2484
Si2 Si 0.2485 0.5000 0.9996
Si3 Si 0.3736 0.0000 0.7499
Si4 Si 0.4991 0.5000 0.4987
Si5 Si 0.6244 0.0000 0.2492
Si6 Si 0.7512 0.5000 0.0004
Si7 Si 0.8760 0.0000 0.7501
Si8 Si 0.9993 0.5000 0.4989
Pd1 Pd 0.0622 0.5000 0.1244
Pd2 Pd 0.1852 0.0000 0.8742
Pd3 Pd 0.3105 0.5000 0.6253
Pd4 Pd 0.4358 0.0000 0.3723
Pd5 Pd 0.5627 0.5000 0.1260
Pd6 Pd 0.6897 0.0000 0.8758
Pd7 Pd 0.8143 0.5000 0.6252
Pd8 Pd 0.9361 0.0000 0.3722
```

Results
VASP energy: -7.37 eV/atom

***

(5)
Compound: Hf2ZrSi4Pd4
Source: the Open Quantum Materials Database
Functional: PBE
Structure: optimized geometry

CIF file:
```
data_Hf2ZrSi4Pd4
_cell_length_a 3.9814
_cell_length_b 6.7829
_cell_length_c 13.1143
_cell_angle_alpha 90.00
_cell_angle_beta 90.00
_cell_angle_gamma 90.00
_symmetry_space_group_name_H-M 'I m m m'
_symmetry_Int_Tables_number 71
_symmetry_space_group_name_Hall '-I 2 2'
loop_
_atom_site_label
_atom_site_type_symbol
_atom_site_fract_x
_atom_site_fract_y
_atom_site_fract_z
Hf1 Hf 0.0000 0.0000 0.1206
Zr1 Zr 0.0000 0.5000 0.0000
Si1 Si 0.0000 0.3154 0.5000
Si2 Si 0.0000 0.5000 0.2143
Pd1 Pd 0.0000 0.2044 0.3263
```

Results
VASP energy: -7.32 eV/atom

***

(6)
Compound: HfSnPd4
Source: the Open Quantum Materials Database
Functional: PBE
Structure: optimized geometry

CIF file:
```
data_HfSnPd4
_cell_length_a 4.3877
_cell_length_b 4.3877
_cell_length_c 21.1128
_cell_angle_alpha 90.00
_cell_angle_beta 90.00
_cell_angle_gamma 120.00
_symmetry_space_group_name_H-M 'R -3 m'
_symmetry_Int_Tables_number 166
_symmetry_space_group_name_Hall '-R 3 2"'
loop_
_atom_site_label
_atom_site_type_symbol
_atom_site_fract_x
_atom_site_fract_y
_atom_site_fract_z
Hf1 Hf 0.0000 0.0000 0.0000
Sn1 Sn 0.0000 0.0000 0.5000
Pd1 Pd 0.0000 0.0000 0.1252
Pd2 Pd 0.0000 0.0000 0.3751
```

Results
VASP energy: -6.16 eV/atom

***

(7)
Compound: HfSn2Pd
Source: the Open Quantum Materials Database
Functional: PBE
Structure: optimized geometry

CIF file:
```
data_HfSn2Pd
_cell_length_a 7.0034
_cell_length_b 7.0034
_cell_length_c 7.0034
_cell_angle_alpha 90.00
_cell_angle_beta 90.00
_cell_angle_gamma 90.00
_symmetry_space_group_name_H-M 'F -4 3 m'
_symmetry_Int_Tables_number 216
_symmetry_space_group_name_Hall 'F -4 2 3'
loop_
_atom_site_label
_atom_site_type_symbol
_atom_site_fract_x
_atom_site_fract_y
_atom_site_fract_z
Hf1 Hf 0.0000 0.0000 0.0000
Sn1 Sn 0.0000 0.0000 0.5000
Sn2 Sn 0.2500 0.2500 0.2500
Pd1 Pd 0.2500 0.2500 0.7500
```

Results
VASP energy: -5.85 eV/atom

***

(8)
Compound: Hf2SnPd
Source: the Open Quantum Materials Database
Functional: PBE
Structure: optimized geometry

CIF file:
```
data_Hf2SnPd
_cell_length_a 6.8682
_cell_length_b 6.8682
_cell_length_c 6.8682
_cell_angle_alpha 90.00
_cell_angle_beta 90.00
_cell_angle_gamma 90.00
_symmetry_space_group_name_H-M 'F -4 3 m'
_symmetry_Int_Tables_number 216
_symmetry_space_group_name_Hall 'F -4 2 3'
loop_
_atom_site_label
_atom_site_type_symbol
_atom_site_fract_x
_atom_site_fract_y
_atom_site_fract_z
Hf1 Hf 0.0000 0.0000 0.0000
Hf2 Hf 0.2500 0.2500 0.2500
Sn1 Sn 0.0000 0.0000 0.5000
Pd1 Pd 0.2500 0.2500 0.7500
```

Results
VASP energy: -7.35 eV/atom

***

(9)
Compound: HfZrSn2Pd2
Source: the Open Quantum Materials Database
Functional: PBE
Structure: optimized geometry

CIF file:
```
data_HfZrSn2Pd2
_cell_length_a 9.0034
_cell_length_b 4.5015
_cell_length_c 13.5066
_cell_angle_alpha 90.00
_cell_angle_beta 109.47
_cell_angle_gamma 90.00
_symmetry_space_group_name_H-M 'P 1 m 1'
_symmetry_Int_Tables_number 6
loop_
_symmetry_equiv_pos_as_xyz
'x,y,z'
'x,-y,z'
loop_
_atom_site_label
_atom_site_type_symbol
_atom_site_fract_x
_atom_site_fract_y
_atom_site_fract_z
Hf1 Hf 0.0000 0.0000 0.0000
Hf2 Hf 0.1252 0.5000 0.7504
Hf3 Hf 0.2500 0.0000 0.5004
Hf4 Hf 0.4998 0.0000 0.0000
Zr1 Zr 0.3749 0.5000 0.2500
Zr2 Zr 0.6250 0.5000 0.7503
Zr3 Zr 0.7501 0.0000 0.5003
Zr4 Zr 0.8750 0.5000 0.2500
Sn1 Sn 0.0004 0.5000 0.5004
Sn2 Sn 0.1247 0.0000 0.2495
Sn3 Sn 0.2496 0.5000 0.9994
Sn4 Sn 0.3747 0.0000 0.7502
Sn5 Sn 0.5000 0.5000 0.5008
Sn6 Sn 0.6249 0.0000 0.2500
Sn7 Sn 0.7500 0.5000 0.0001
Sn8 Sn 0.8758 0.0000 0.7510
Pd1 Pd 0.0617 0.5000 0.1232
Pd2 Pd 0.1877 0.0000 0.8752
Pd3 Pd 0.3105 0.5000 0.6247
Pd4 Pd 0.4360 0.0000 0.3761
Pd5 Pd 0.5614 0.5000 0.1233
Pd6 Pd 0.6882 0.0000 0.8768
Pd7 Pd 0.8151 0.5000 0.6264
Pd8 Pd 0.9399 0.0000 0.3760
```

Results
VASP energy: -6.90 eV/atom

***

(10)
Compound: Sr2Hf2Pd3
Source: the Open Quantum Materials Database
Functional: PBE
Structure: optimized geometry

CIF file:
```
data_Sr2Hf2Pd3
_cell_length_a 4.7712
_cell_length_b 4.7712
_cell_length_c 26.0001
_cell_angle_alpha 90.00
_cell_angle_beta 90.00
_cell_angle_gamma 120.00
_symmetry_space_group_name_H-M 'R 3 m'
_symmetry_Int_Tables_number 160
_symmetry_space_group_name_Hall 'R 3 -2"'
loop_
_atom_site_label
_atom_site_type_symbol
_atom_site_fract_x
_atom_site_fract_y
_atom_site_fract_z
Sr1 Sr 0.0000 0.0000 0.0000
Sr2 Sr 0.0000 0.0000 0.4927
Hf1 Hf 0.0000 0.0000 0.2539
Hf2 Hf 0.0000 0.0000 0.7321
Pd1 Pd 0.0000 0.0000 0.3766
Pd2 Pd 0.0000 0.0000 0.6130
Pd3 Pd 0.0000 0.0000 0.8863
```

Results
VASP energy: -5.70 eV/atom

***

(11)
Compound: Hf3Ta2Pd2
Source: the Open Quantum Materials Database
Functional: PBE
Structure: optimized geometry

CIF file:
```
data_Hf3Ta2Pd2
_cell_length_a 4.7804
_cell_length_b 4.7804
_cell_length_c 19.6856
_cell_angle_alpha 90.00
_cell_angle_beta 90.00
_cell_angle_gamma 120.00
_symmetry_space_group_name_H-M 'R 3 m'
_symmetry_Int_Tables_number 160
_symmetry_space_group_name_Hall 'R 3 -2"'
loop_
_atom_site_label
_atom_site_type_symbol
_atom_site_fract_x
_atom_site_fract_y
_atom_site_fract_z
Hf1 Hf 0.0000 0.0000 0.0000
Hf2 Hf 0.0000 0.0000 0.2733
Hf3 Hf 0.0000 0.0000 0.7076
Ta1 Ta 0.0000 0.0000 0.4273
Ta2 Ta 0.0000 0.0000 0.8464
Pd1 Pd 0.0000 0.0000 0.1342
Pd2 Pd 0.0000 0.0000 0.5693
```

Results
VASP energy: -9.24 eV/atom

***

(12)
Compound: HfTaPd
Source: the Open Quantum Materials Database
Functional: PBE
Structure: optimized geometry

CIF file:
```
data_HfTaPd
_cell_length_a 6.3035
_cell_length_b 6.3035
_cell_length_c 6.3035
_cell_angle_alpha 90.00
_cell_angle_beta 90.00
_cell_angle_gamma 90.00
_symmetry_space_group_name_H-M 'F -4 3 m'
_symmetry_Int_Tables_number 216
_symmetry_space_group_name_Hall 'F -4 2 3'
loop_
_atom_site_label
_atom_site_type_symbol
_atom_site_fract_x
_atom_site_fract_y
_atom_site_fract_z
Hf1 Hf 0.0000 0.0000 0.0000
Ta1 Ta 0.0000 0.0000 0.5000
Pd1 Pd 0.2500 0.2500 0.2500
```

Results
VASP energy: -8.77 eV/atom